[1]
Below is an optimized crystal structure of ErPd8Pt2, with properties calculated at the GGA-PBE level.

Cell: 7.9185 7.9185 4.8842 Å, 107.89 107.89 125.02°
With the nearest neighbours (Å) after each atom.
Positions (direct):
Er: 0.0000 0.0000 0.0000  4 Pd 2.68-2.92
Pd: 0.0968 0.3851 0.7443  7 Pd 2.63-2.87, 3 Pt 2.84-2.86
Pd: 0.1909 0.8091 0.0000  1 Er 2.68, 6 Pd 2.71-2.87, 2 Pt 2.74
Pd: 0.3851 0.0968 0.7443  7 Pd 2.63-2.87, 3 Pt 2.84-2.86
Pd: 0.4849 0.4849 0.7351  4 Pd 2.45-2.72
Pd: 0.5151 0.5151 0.2649  4 Pd 2.45-2.72
Pd: 0.6149 0.9032 0.2557  7 Pd 2.63-2.87, 3 Pt 2.84-2.86
Pd: 0.8091 0.1909 0.0000  1 Er 2.68, 6 Pd 2.71-2.87, 2 Pt 2.74
Pd: 0.9032 0.6149 0.2557  7 Pd 2.63-2.87, 3 Pt 2.84-2.86
Pt: 0.3252 0.6748 0.5000  10 Pd 2.74-2.86
Pt: 0.6748 0.3252 0.5000  10 Pd 2.74-2.86

The formation energy from the elements is -0.19 eV/atom. The calculation puts the magnetic moment at 0.0000 μB per atom. For the total energy, the calculation gives -5.484 eV per atom. Its calculated volume is 17.0 Å³/atom.

[2]
Below is an optimized crystal structure of Er6Pd2Pt, with properties calculated at the GGA-PBE level.

Cell: 8.2986 8.2986 8.2986 Å, 110.54 110.08 107.81°
With the nearest neighbours (Å) after each atom.
Positions (direct):
Er: 0.0625 0.2478 0.8147  2 Pd 2.88-3.19, 2 Pt 3.00-3.03
Er: 0.1680 0.4624 0.2944  3 Pd 2.74-2.96
Er: 0.1680 0.8736 0.7056  3 Pd 2.74-2.96
Er: 0.3257 0.2324 0.5582  3 Pd 2.99-3.05, 1 Pt 3.02, 1 Er 3.31
Er: 0.3257 0.7676 0.0933  3 Pd 2.99-3.05, 1 Pt 3.02, 1 Er 3.31
Er: 0.4331 0.2478 0.1853  2 Pd 2.88-3.19, 2 Pt 3.00-3.03
Er: 0.5669 0.7522 0.8147  2 Pd 2.88-3.19, 2 Pt 3.00-3.03
Er: 0.6743 0.2324 0.9067  3 Pd 2.99-3.05, 1 Pt 3.02, 1 Er 3.31
Er: 0.6743 0.7676 0.4418  3 Pd 2.99-3.05, 1 Pt 3.02, 1 Er 3.31
Er: 0.8320 0.1264 0.2944  3 Pd 2.74-2.96
Er: 0.8320 0.5376 0.7056  3 Pd 2.74-2.96
Er: 0.9375 0.7522 0.1853  2 Pd 2.88-3.19, 2 Pt 3.00-3.03
Pd: 0.1580 0.5000 0.6580  8 Er 2.88-2.99, 1 Pd 3.01
Pd: 0.3655 0.8655 0.5000  1 Pd 2.63, 2 Er 2.74
Pd: 0.6345 0.1345 0.5000  1 Pd 2.63, 2 Er 2.74
Pd: 0.8420 0.5000 0.3420  8 Er 2.88-2.99, 1 Pd 3.01
Pt: 0.0000 0.0000 0.0000  8 Er 3.00-3.23
Pt: 0.5000 0.5000 0.0000  8 Er 3.02-3.03, 2 Pd 3.25

The formation energy from the elements is -0.70 eV/atom. The calculation puts the magnetic moment at 0.0000 μB per atom. For the total energy, the calculation gives -5.571 eV per atom. Its calculated volume is 24.4 Å³/atom.

[3]
Below is an optimized crystal structure of ErPd2Pt2, with properties calculated at the GGA-PBE level.

Cell: 4.7047 4.7047 10.6286 Å, 90.00 90.00 120.00°
With the nearest neighbours (Å) after each atom.
Positions (direct):
Er: 0.0000 0.0000 0.2500  5 Pt 2.66-2.72
Er: 0.0000 0.0000 0.7500  5 Pt 2.66-2.72
Pd: 0.3333 0.6667 0.0005  4 Pt 2.66-2.72, 3 Pd 2.72
Pd: 0.3333 0.6667 0.4995  4 Pt 2.66-2.72, 3 Pd 2.72
Pd: 0.6667 0.3333 0.5005  4 Pt 2.66-2.72, 3 Pd 2.72
Pd: 0.6667 0.3333 0.9995  4 Pt 2.66-2.72, 3 Pd 2.72
Pt: 0.0000 0.0000 0.0000  2 Er 2.66, 6 Pd 2.72
Pt: 0.0000 0.0000 0.5000  2 Er 2.66, 6 Pd 2.72
Pt: 0.3333 0.6667 0.7500  2 Pd 2.66, 3 Er 2.72
Pt: 0.6667 0.3333 0.2500  2 Pd 2.66, 3 Er 2.72

The formation energy from the elements is -0.38 eV/atom. The calculation puts the magnetic moment at 0.0000 μB per atom. The calculation puts the energy above the most stable polymorph in this dataset at 0.000 eV per atom. For the total energy, the calculation gives -5.785 eV per atom. Its calculated volume is 20.4 Å³/atom.

Number 3 is which compound? ErPd2Pt2